Entry 1:
Entry from the Alexandria database: a relaxed structure of CaSeBr2F (GGA-PBE).

```
CaSeBr2F
1.0
5.567 0.000 0.000
0.000 5.567 0.000
0.000 0.000 6.125
Ca Se Br F
1 1 2 1
direct
0.000 0.000 0.000 Ca
0.000 0.000 0.500 Se
0.000 0.500 0.000 Br
0.500 0.000 0.000 Br
0.500 0.500 0.500 F
```

Summary:
VASP energy, eV/atom: -2.73
Uncorrected formation energy, eV/atom: -0.59
Energy above the most stable polymorph in this dataset, meV/atom: 256
Total moment, μB/f.u.: 1.6


Entry 2:
Entry from the Alexandria database: a relaxed structure of Ca2TiBrF (GGA-PBE).

```
Ca2TiBrF
1.0
5.987 0.000 0.000
0.000 5.987 0.000
0.000 0.000 4.896
Ca Ti Br F
2 1 1 1
direct
0.000 0.500 0.000 Ca
0.500 0.000 0.000 Ca
0.000 0.000 0.000 Ti
0.000 0.000 0.500 Br
0.500 0.500 0.500 F
```

Summary:
VASP energy, eV/atom: -3.43
Uncorrected formation energy, eV/atom: -0.35
Total moment, μB/f.u.: 3.7


What did the first record say?
Entry from the Alexandria database: a relaxed structure of CaSeBr2F (GGA-PBE).

```
CaSeBr2F
1.0
5.567 0.000 0.000
0.000 5.567 0.000
0.000 0.000 6.125
Ca Se Br F
1 1 2 1
direct
0.000 0.000 0.000 Ca
0.000 0.000 0.500 Se
0.000 0.500 0.000 Br
0.500 0.000 0.000 Br
0.500 0.500 0.500 F
```

Summary:
VASP energy, eV/atom: -2.73
Uncorrected formation energy, eV/atom: -0.59
Energy above the most stable polymorph in this dataset, meV/atom: 256
Total moment, μB/f.u.: 1.6